No. 1
# MnV5Pt8 (GGA-PBE, optimized geometry)
data_MnV5Pt8
_chemical_formula_sum 'Mn1 V5 Pt8'
_space_group_name_H-M_alt 'P 1'
_space_group_IT_number 1
_cell_length_a 6.574
_cell_length_b 6.574
_cell_length_c 6.574
_cell_angle_alpha 108.39
_cell_angle_beta 111.67
_cell_angle_gamma 108.39
loop_
_space_group_symop_operation_xyz
'x,y,z'
loop_
_atom_site_label
_atom_site_type_symbol
_atom_site_fract_x
_atom_site_fract_y
_atom_site_fract_z
Mn1 Mn 0.250 0.500 0.750
V1 V 0.013 0.279 0.091
V2 V 0.909 0.922 0.187
V3 V 0.813 0.721 0.735
V4 V 0.500 0.000 0.500
V5 V 0.265 0.078 0.987
Pt1 Pt 0.138 0.685 0.067
Pt2 Pt 0.933 0.071 0.617
Pt3 Pt 0.749 0.272 0.342
Pt4 Pt 0.658 0.407 0.930
Pt5 Pt 0.523 0.593 0.251
Pt6 Pt 0.547 0.929 0.862
Pt7 Pt 0.383 0.315 0.453
Pt8 Pt 0.070 0.728 0.477
# **ΔH_f (0 K)**: -260 meV per atom

---

No. 2
# Mn2VPt5 (GGA-PBE, optimized geometry)
data_Mn2VPt5
_chemical_formula_sum 'Mn4 V2 Pt10'
_space_group_name_H-M_alt 'P 1'
_space_group_IT_number 1
_cell_length_a 3.895
_cell_length_b 5.517
_cell_length_c 11.071
_cell_angle_alpha 90.00
_cell_angle_beta 90.00
_cell_angle_gamma 90.00
loop_
_space_group_symop_operation_xyz
'x,y,z'
loop_
_atom_site_label
_atom_site_type_symbol
_atom_site_fract_x
_atom_site_fract_y
_atom_site_fract_z
Mn1 Mn 0.500 0.258 0.374
Mn2 Mn 0.500 0.742 0.626
Mn3 Mn 0.500 0.242 0.874
Mn4 Mn 0.500 0.758 0.126
V1 V 0.000 0.000 0.500
V2 V 0.000 0.500 0.000
Pt1 Pt 0.500 0.262 0.117
Pt2 Pt 0.500 0.738 0.883
Pt3 Pt 0.500 0.762 0.383
Pt4 Pt 0.500 0.238 0.617
Pt5 Pt 0.000 0.988 0.744
Pt6 Pt 0.000 0.012 0.256
Pt7 Pt 0.000 0.488 0.756
Pt8 Pt 0.000 0.512 0.244
Pt9 Pt 0.000 0.500 0.500
Pt10 Pt 0.000 0.000 0.000
# **ΔH_f (0 K)**: -453 meV per atom

---

No. 3
# MnV2Pt2 (GGA-PBE, optimized geometry)
data_MnV2Pt2
_chemical_formula_sum 'Mn2 V4 Pt4'
_space_group_name_H-M_alt 'P 1'
_space_group_IT_number 1
_cell_length_a 7.454
_cell_length_b 7.454
_cell_length_c 2.762
_cell_angle_alpha 90.00
_cell_angle_beta 90.00
_cell_angle_gamma 90.00
loop_
_space_group_symop_operation_xyz
'x,y,z'
loop_
_atom_site_label
_atom_site_type_symbol
_atom_site_fract_x
_atom_site_fract_y
_atom_site_fract_z
Mn1 Mn 0.000 0.000 0.000
Mn2 Mn 0.500 0.500 0.000
Pt1 Pt 0.369 0.869 0.000
Pt2 Pt 0.869 0.631 0.000
Pt3 Pt 0.631 0.131 0.000
Pt4 Pt 0.131 0.369 0.000
V1 V 0.168 0.668 0.500
V2 V 0.668 0.832 0.500
V3 V 0.832 0.332 0.500
V4 V 0.332 0.168 0.500
# **ΔH_f (0 K)**: -226 meV per atom
# **Excess energy over the best structure of this formula in the dataset**: 0.155 eV/atom

---

No. 4
# Mn2V2Pt (GGA-PBE, optimized geometry)
data_Mn2V2Pt
_chemical_formula_sum 'Mn4 V4 Pt2'
_space_group_name_H-M_alt 'P 1'
_space_group_IT_number 1
_cell_length_a 6.722
_cell_length_b 6.722
_cell_length_c 2.858
_cell_angle_alpha 90.00
_cell_angle_beta 90.00
_cell_angle_gamma 90.00
loop_
_space_group_symop_operation_xyz
'x,y,z'
loop_
_atom_site_label
_atom_site_type_symbol
_atom_site_fract_x
_atom_site_fract_y
_atom_site_fract_z
Mn1 Mn 0.389 0.889 0.000
Mn2 Mn 0.889 0.611 0.000
Mn3 Mn 0.611 0.111 0.000
Mn4 Mn 0.111 0.389 0.000
Pt1 Pt 0.000 0.000 0.000
Pt2 Pt 0.500 0.500 0.000
V1 V 0.197 0.697 0.500
V2 V 0.697 0.803 0.500
V3 V 0.803 0.303 0.500
V4 V 0.303 0.197 0.500
# **ΔH_f (0 K)**: -105 meV per atom
# **Excess energy over the best structure of this formula in the dataset**: 0.000 eV/atom

---

No. 5
# MnVPt3 (GGA-PBE, optimized geometry)
data_MnVPt3
_chemical_formula_sum 'Mn1 V1 Pt3'
_space_group_name_H-M_alt 'P 1'
_space_group_IT_number 1
_cell_length_a 7.440
_cell_length_b 5.312
_cell_length_c 5.321
_cell_angle_alpha 120.05
_cell_angle_beta 90.00
_cell_angle_gamma 44.56
loop_
_space_group_symop_operation_xyz
'x,y,z'
loop_
_atom_site_label
_atom_site_type_symbol
_atom_site_fract_x
_atom_site_fract_y
_atom_site_fract_z
Mn1 Mn 0.500 0.000 0.000
V1 V 0.000 0.000 0.000
Pt1 Pt 0.000 0.000 0.500
Pt2 Pt 0.000 0.500 0.500
Pt3 Pt 0.000 0.500 0.000
# **ΔH_f (0 K)**: 177 meV per atom
# **Excess energy over the best structure of this formula in the dataset**: 0.442 eV/atom

---

No. 6
# Mn5VPt6 (GGA-PBE, optimized geometry)
data_Mn5VPt6
_chemical_formula_sum 'Mn5 V1 Pt6'
_space_group_name_H-M_alt 'P 1'
_space_group_IT_number 1
_cell_length_a 4.031
_cell_length_b 7.338
_cell_length_c 7.341
_cell_angle_alpha 119.99
_cell_angle_beta 105.94
_cell_angle_gamma 90.00
loop_
_space_group_symop_operation_xyz
'x,y,z'
loop_
_atom_site_label
_atom_site_type_symbol
_atom_site_fract_x
_atom_site_fract_y
_atom_site_fract_z
Mn1 Mn 0.654 0.154 0.308
Mn2 Mn 0.326 0.326 0.652
Mn3 Mn 0.000 0.500 0.000
Mn4 Mn 0.674 0.674 0.348
Mn5 Mn 0.346 0.846 0.692
Pt1 Pt 0.834 0.580 0.667
Pt2 Pt 0.834 0.088 0.667
Pt3 Pt 0.500 0.740 0.000
Pt4 Pt 0.500 0.260 0.000
Pt5 Pt 0.166 0.912 0.333
Pt6 Pt 0.166 0.420 0.333
V1 V 0.000 0.000 0.000
# **ΔH_f (0 K)**: -405 meV per atom

---

No. 7
# Mn2V4Pt (GGA-PBE, optimized geometry)
data_Mn2V4Pt
_chemical_formula_sum 'Mn2 V4 Pt1'
_space_group_name_H-M_alt 'P 1'
_space_group_IT_number 1
_cell_length_a 4.650
_cell_length_b 4.650
_cell_length_c 6.903
_cell_angle_alpha 70.32
_cell_angle_beta 70.32
_cell_angle_gamma 90.00
loop_
_space_group_symop_operation_xyz
'x,y,z'
loop_
_atom_site_label
_atom_site_type_symbol
_atom_site_fract_x
_atom_site_fract_y
_atom_site_fract_z
Mn1 Mn 0.392 0.392 0.217
Mn2 Mn 0.608 0.608 0.783
Pt1 Pt 0.000 0.000 0.000
V1 V 0.209 0.209 0.581
V2 V 0.791 0.791 0.419
V3 V 0.000 0.500 0.000
V4 V 0.500 0.000 0.000
# **ΔH_f (0 K)**: 1005 meV per atom

---

No. 8
# Mn2VPt (GGA-PBE, optimized geometry)
data_Mn2VPt
_chemical_formula_sum 'Mn2 V1 Pt1'
_space_group_name_H-M_alt 'P 1'
_space_group_IT_number 1
_cell_length_a 4.294
_cell_length_b 4.294
_cell_length_c 4.294
_cell_angle_alpha 60.00
_cell_angle_beta 60.00
_cell_angle_gamma 60.00
loop_
_space_group_symop_operation_xyz
'x,y,z'
loop_
_atom_site_label
_atom_site_type_symbol
_atom_site_fract_x
_atom_site_fract_y
_atom_site_fract_z
Mn1 Mn 0.250 0.250 0.250
Mn2 Mn 0.750 0.750 0.750
Pt1 Pt 0.000 0.000 0.000
V1 V 0.500 0.500 0.500
# **ΔH_f (0 K)**: -299 meV per atom